The following is a DFT calculation (PBE) of Tl4Sn6Sb after structural relaxation.

Unit cell a=10.6661 b=9.2784 c=9.2780 alpha=120.00 beta=90.00 gamma=90.00
With the nearest neighbours (Å) after each atom.
Element x y z (fractional)
Sn: 0.5979 0.7823 0.5646  4 Sn 3.09-3.22, 3 Tl 3.18-3.32
Sn: 0.8742 0.4604 0.5396  1 Sb 3.02, 2 Sn 3.09, 1 Tl 3.32
Sn: 0.0980 0.5646 0.7823  4 Sn 3.09-3.22, 3 Tl 3.18-3.32
Sn: 0.3742 0.9208 0.4604  1 Sb 3.02, 2 Sn 3.09, 1 Tl 3.32
Sn: 0.8742 0.4604 0.9208  1 Sb 3.02, 2 Sn 3.09, 1 Tl 3.32
Sn: 0.3742 0.5396 0.4604  1 Sb 3.02, 2 Sn 3.09, 1 Tl 3.32
Sn: 0.0980 0.2177 0.7823  4 Sn 3.09-3.22, 3 Tl 3.18-3.32
Sn: 0.3742 0.5396 0.0792  1 Sb 3.02, 2 Sn 3.09, 1 Tl 3.32
Sn: 0.5980 0.7823 0.2177  4 Sn 3.09-3.22, 3 Tl 3.18-3.32
Sn: 0.5980 0.4354 0.2177  4 Sn 3.09-3.22, 3 Tl 3.18-3.32
Sn: 0.0979 0.2177 0.4354  4 Sn 3.09-3.22, 3 Tl 3.18-3.32
Sn: 0.8742 0.0792 0.5396  1 Sb 3.02, 2 Sn 3.09, 1 Tl 3.32
Tl: 0.3558 0.3333 0.6666  1 Sb 3.30, 6 Sn 3.32, 3 Tl 3.52
Tl: 0.0296 0.2945 0.1473  2 Sn 3.18, 1 Sb 3.32, 1 Tl 3.52
Tl: 0.5296 0.7055 0.8527  2 Sn 3.18, 1 Sb 3.32, 1 Tl 3.52
Tl: 0.5296 0.1472 0.8527  2 Sn 3.18, 1 Sb 3.32, 1 Tl 3.52
Tl: 0.8558 0.6667 0.3334  1 Sb 3.30, 6 Sn 3.32, 3 Tl 3.52
Tl: 0.0296 0.8528 0.1472  2 Sn 3.18, 1 Sb 3.32, 1 Tl 3.52
Tl: 0.0297 0.8527 0.7055  2 Sn 3.18, 1 Sb 3.32, 1 Tl 3.52
Tl: 0.5297 0.1473 0.2945  2 Sn 3.18, 1 Sb 3.32, 1 Tl 3.52
Sb: 0.6656 0.3334 0.6667  3 Sn 3.02, 4 Tl 3.30-3.32
Sb: 0.1656 0.6666 0.3333  3 Sn 3.02, 4 Tl 3.30-3.32

The calculation puts the energy relative to the elements, uncorrected at 139 kJ/mol of formula units. As for the symmetry: P6_3mc (186).